Computed, not measured: a relaxed structure of TbDy2Th3Bi6 at the GGA-PBE level of DFT.

Unit cell a=19.782 b=4.547 c=9.055 alpha=90.00 beta=103.04 gamma=90.00
Space group C2/m (No. 12)
Asymmetric unit:
Tb  0.000  0.000  0.000 x2
Dy  0.167  0.500  0.333 x4
Th  0.000  0.000  0.500 x2
Th  0.166  0.500  0.833 x4
Bi  0.002  0.500  0.245 x4
Bi  0.165  0.000  0.089 x4
Bi  0.169  0.000  0.578 x4

Summary:
Volume ... 33.066 A^3/atom
Formation enthalpy at 0 K ... -0.7146 eV per atom